A relaxed ScNi3Mo crystal, computed with GGA-PBEsol.

Summary:
E above lowest polymorph (eV/f.u.): 0.00
DFT formation energy (eV/atom): 0.79

Cell and atoms, written as CIF:
```
data_ScNi3Mo
_chemical_formula_sum 'Sc1 Ni3 Mo1'
_space_group_name_H-M_alt 'P 1'
_space_group_IT_number 1
_cell_length_a 4.4026
_cell_length_b 4.4026
_cell_length_c 4.4026
_cell_angle_alpha 90.00
_cell_angle_beta 90.00
_cell_angle_gamma 90.00
loop_
_space_group_symop_operation_xyz
'x,y,z'
loop_
_atom_site_label
_atom_site_type_symbol
_atom_site_fract_x
_atom_site_fract_y
_atom_site_fract_z
_atom_site_occupancy
Sc1 Sc 0.0000 0.0000 0.0000 1
Ni1 Ni 0.0000 0.5000 0.5000 1
Ni2 Ni 0.5000 0.0000 0.5000 1
Ni3 Ni 0.5000 0.5000 0.0000 1
Mo1 Mo 0.5000 0.5000 0.5000 1
```